Crystalline Ta2Nb6Rh at its relaxed geometry, computed with PBE.

Values from the calculation:
The value obtained for the final energy is -91.44 eV per cell. As for the distance to the lowest polymorph of the same formula: 0.0000 eV per atom. The energy relative to the elements comes out at 4 meV/atom.

Cell lengths 4.7782, 5.2030, 7.5994 Å; angles 69.98, 82.07, 66.22 degrees
Fractional coordinates of all 9 atoms:
Nb 0.8342 0.4978 0.1768
Nb 0.8342 0.1747 0.8232
Nb 0.6667 0.6715 0.5000
Nb 0.3333 0.3285 0.5000
Nb 0.1658 0.8253 0.1768
Nb 0.1658 0.5022 0.8232
Ta 0.5000 0.8346 0.8308
Ta 0.5000 0.1654 0.1692
Rh 0.0000 0.0000 0.5000